1.
PBE-GGA Cs2TlAg2F6, relaxed; energy relative to the elements, uncorrected = -19.68 eV per formula unit; space-group type = No. 166; uncorrected energy = -3.70 eV/atom
1.0
3.498 2.020 6.172
-3.498 2.020 6.172
0.000 -4.040 6.172
Cs Tl Ag F
2 1 2 6
Cartesian
0.000 0.000 4.017
0.000 0.000 14.499
0.000 0.000 0.000
0.000 0.000 7.846
0.000 0.000 10.671
-1.925 -1.111 10.778
0.000 -2.223 7.739
-1.925 1.111 7.739
1.925 -1.111 10.778
0.000 2.223 10.778
1.925 1.111 7.739

=====

2.
PBE-GGA Cs2Tm3AgF12, relaxed; energy relative to the elements, uncorrected = -63.02 eV per formula unit; space-group type = No. 166; uncorrected energy = -5.75 eV/atom
1.0
4.143 2.392 6.432
-4.143 2.392 6.432
0.000 -4.784 6.432
Cs Tm Ag F
2 3 1 12
Cartesian
0.000 0.000 2.587
0.000 0.000 16.710
-2.071 -1.196 6.432
-2.071 1.196 12.864
0.000 2.392 6.432
0.000 0.000 9.648
-2.011 -1.161 8.542
0.000 -1.794 6.349
-1.554 0.897 6.349
0.000 -2.322 10.755
-2.011 1.161 10.755
-1.554 -0.897 12.948
1.554 0.897 6.349
2.011 -1.161 8.542
0.000 2.322 8.542
1.554 -0.897 12.948
0.000 1.794 12.948
2.011 1.161 10.755

=====

3.
PBE-GGA Cs2TmAgF6, relaxed; energy relative to the elements, uncorrected = -30.09 eV per formula unit; space-group type = No. 225; uncorrected energy = -5.03 eV/atom
1.0
0.000 4.655 4.655
4.655 0.000 4.655
4.655 4.655 0.000
Cs Tm Ag F
2 1 1 6
Cartesian
2.327 2.327 2.327
6.982 6.982 6.982
0.000 0.000 0.000
4.655 4.655 4.655
4.655 4.655 2.148
4.655 2.148 4.655
7.162 4.655 4.655
2.148 4.655 4.655
4.655 7.162 4.655
4.655 4.655 7.162